Entry 1:
# Mg3Sn2Hg2 PBE-GGA optimized geometry
data_Mg3Sn2Hg2
_chemical_formula_sum 'Mg6 Sn4 Hg4'
_symmetry_space_group_name_H-M 'C m m m'
_symmetry_Int_Tables_number 65
_symmetry_space_group_name_Hall '-C 2 2'
_cell_length_a 3.3978
_cell_length_b 28.5380
_cell_length_c 3.3485
_cell_angle_alpha 90.00
_cell_angle_beta 90.00
_cell_angle_gamma 90.00
loop_
_atom_site_label
_atom_site_fract_x
_atom_site_fract_y
_atom_site_fract_z
Mg1 0.0000 0.0000 0.0000
Mg2 0.0000 0.1294 0.0000
Sn1 0.0000 0.2979 0.5000
Hg1 0.0000 0.4341 0.5000
# V: 324.69 Å³ per cell
# N(E_F): 0.3591 states/eV per atom
# Total DFT energy (no corrections): -2.07 eV per atom


Entry 2:
# ScAgTe2N PBE-GGA optimized geometry
data_ScAgTe2N
_chemical_formula_sum 'Sc1 Ag1 Te2 N1'
_symmetry_space_group_name_H-M 'P 4/m m m'
_symmetry_Int_Tables_number 123
_symmetry_space_group_name_Hall '-P 4 2'
_cell_length_a 5.0535
_cell_length_b 5.0535
_cell_length_c 4.1710
_cell_angle_alpha 90.00
_cell_angle_beta 90.00
_cell_angle_gamma 90.00
loop_
_atom_site_label
_atom_site_fract_x
_atom_site_fract_y
_atom_site_fract_z
Sc1 0.0000 0.0000 0.0000
Ag1 0.5000 0.5000 0.0000
Te1 0.0000 0.5000 0.5000
N1 0.0000 0.0000 0.5000
# Offset from the most stable computed form: 0 meV/atom
# V: 106.52 Å³ per cell
# N(E_F): 0.4425 states/eV per atom


Entry 3:
# RbLiDyBr5 PBE-GGA optimized geometry
data_RbLiDyBr5
_chemical_formula_sum 'Rb4 Li4 Dy4 Br20'
_symmetry_space_group_name_H-M 'C 1 2/c 1'
_symmetry_Int_Tables_number 15
_symmetry_space_group_name_Hall '-C 2yc'
_cell_length_a 9.4637
_cell_length_b 12.8309
_cell_length_c 10.6563
_cell_angle_alpha 90.00
_cell_angle_beta 113.43
_cell_angle_gamma 90.00
loop_
_atom_site_label
_atom_site_fract_x
_atom_site_fract_y
_atom_site_fract_z
Rb1 0.0000 0.1554 0.2500
Li1 0.0000 0.1918 0.7500
Dy1 0.0000 0.5000 0.0000
Br1 0.0000 0.4262 0.2500
Br2 0.1035 0.3003 0.6036
Br3 0.1950 0.0656 0.9243
# V: 1187.24 Å³ per cell
# N(E_F): 0.0000 states/eV per atom
# Total DFT energy (no corrections): -3.75 eV per atom


Entry 4:
# CdAg2Rh PBE-GGA optimized geometry
data_CdAg2Rh
_chemical_formula_sum 'Cd4 Ag8 Rh4'
_symmetry_space_group_name_H-M 'F 2 2 2'
_symmetry_Int_Tables_number 22
_symmetry_space_group_name_Hall 'F 2 2'
_cell_length_a 6.0248
_cell_length_b 6.0520
_cell_length_c 7.6077
_cell_angle_alpha 90.00
_cell_angle_beta 90.00
_cell_angle_gamma 90.00
loop_
_atom_site_label
_atom_site_fract_x
_atom_site_fract_y
_atom_site_fract_z
Cd1 0.0000 0.0000 0.0000
Ag1 0.0000 0.0000 0.5000
Ag2 0.2500 0.2500 0.2500
Rh1 0.2500 0.2500 0.7500
# V: 277.39 Å³ per cell
# N(E_F): 0.4593 states/eV per atom
# Total DFT energy (no corrections): -3.45 eV per atom